Material: MnNi2Ru
Method: DFT, PBE-GGA
State: optimized geometry

- calculated formation energy (meV/atom) = 151

Unit cell a=8.4356 b=8.4356 c=8.4356 alpha=17.86 beta=17.86 gamma=17.86
Last column: nearest neighbours and their distance in Å.
Atoms (fractional coordinates):
Mn 0.0000 0.0000 0.0000  6 Ni 2.53, 6 Mn 2.62
Ni 0.2517 0.2517 0.2517  3 Mn 2.53, 3 Ru 2.60, 6 Ni 2.62
Ni 0.7483 0.7483 0.7483  3 Mn 2.53, 3 Ru 2.60, 6 Ni 2.62
Ru 0.5000 0.5000 0.5000  6 Ni 2.60, 6 Ru 2.62

=====

Material: ZrBe2Fe2
Method: DFT, PBE-GGA
State: optimized geometry

- polymorph energy (0 for the lowest one) (meV per atom) = 50
- calculated formation energy (meV/atom) = -1

Unit cell a=6.8809 b=6.8809 c=2.5511 alpha=90.00 beta=90.00 gamma=90.00
Last column: nearest neighbours and their distance in Å.
Atoms (fractional coordinates):
Zr 0.0000 0.0000 0.0000  2 Zr 2.55, 4 Fe 2.74, 8 Be 2.85
Zr 0.5000 0.5000 0.0000  2 Zr 2.55, 4 Fe 2.74, 8 Be 2.85
Be 0.1702 0.3298 0.5000  6 Fe 2.40, 2 Be 2.55
Be 0.3298 0.8298 0.5000  6 Fe 2.40, 2 Be 2.55
Be 0.6702 0.1702 0.5000  6 Fe 2.40, 2 Be 2.55
Be 0.8298 0.6702 0.5000  6 Fe 2.40, 2 Be 2.55
Fe 0.1214 0.6214 0.0000  3 Fe 2.36-2.55, 6 Be 2.40
Fe 0.3786 0.1214 0.0000  3 Fe 2.36-2.55, 6 Be 2.40
Fe 0.6214 0.8786 0.0000  3 Fe 2.36-2.55, 6 Be 2.40
Fe 0.8786 0.3786 0.0000  3 Fe 2.36-2.55, 6 Be 2.40

=====

Material: BeRe2W
Method: DFT, PBE-GGA
State: optimized geometry

- calculated formation energy (meV/atom) = 122

Unit cell a=3.1029 b=3.1029 c=5.7487 alpha=90.00 beta=90.00 gamma=90.00
Last column: nearest neighbours and their distance in Å.
Atoms (fractional coordinates):
Be 0.0000 0.0000 0.0000  4 Re 2.49, 4 W 2.58
Re 0.0000 0.0000 0.4936  4 W 2.68, 4 Re 2.75, 2 Be 2.84-2.91
Re 0.5000 0.5000 0.2058  4 Be 2.49, 1 W 2.55, 4 Re 2.75
W 0.5000 0.5000 0.7624  5 Re 2.55-2.68, 4 Be 2.58

=====

Asked for raw total energy across the records above, the calculation gives -7.351 -6.586 -10.272 eV/atom in order.